Crystalline Cs12Rb6Sb at its relaxed geometry. Source: Alexandria via LeMat-Bulk, functional PBE.

Cell lengths 12.5889, 12.5889, 12.5889 Å; angles 78.01, 78.01, 78.01 degrees
Fractional positions:
Cs 0.6953 0.6980 0.3577
Rb 0.3644 0.3645 0.0363
Cs 0.6985 0.0230 0.0211
Cs 0.9789 0.3015 0.9770
Rb 0.6356 0.6355 0.9637
Cs 0.3020 0.6423 0.3047
Rb 0.9637 0.6356 0.6355
Sb 0.0000 0.0000 0.0000
Cs 0.0211 0.6985 0.0230
Cs 0.9770 0.9789 0.3015
Cs 0.6980 0.3577 0.6953
Cs 0.3577 0.6953 0.6980
Cs 0.6423 0.3047 0.3020
Cs 0.3047 0.3020 0.6423
Rb 0.3645 0.0363 0.3644
Rb 0.0363 0.3644 0.3645
Rb 0.6355 0.9637 0.6356
Cs 0.3015 0.9770 0.9789
Cs 0.0230 0.0211 0.6985

## Properties
M_tot in μB per atom: 0.000
E_form (uncorrected) in eV per atom: -0.06